[1]
# LiBeNb, relaxed, DFT GGA-PBE
data_LiBeNb
_space_group_name_H-M_alt 'C 1 2/m 1'
_space_group_IT_number 12
_cell_length_a 10.885
_cell_length_b 2.773
_cell_length_c 5.532
_cell_angle_alpha 90.00
_cell_angle_beta 106.73
_cell_angle_gamma 90.00
loop_
_space_group_symop_operation_xyz
'x,y,z'
'-x,-y,-z'
'-x,y,-z'
'x,-y,z'
'x+1/2,y+1/2,z'
'-x+1/2,-y+1/2,-z'
'-x+1/2,y+1/2,-z'
'x+1/2,-y+1/2,z'
loop_
_atom_site_label
_atom_site_type_symbol
_atom_site_fract_x
_atom_site_fract_y
_atom_site_fract_z
Li1 Li 0.198 0.000 0.331
Be1 Be 0.177 0.000 0.864
Nb1 Nb 0.000 0.500 0.000
Nb2 Nb 0.000 0.500 0.500
# Relative energy among the computed polymorphs: 0.116 eV/atom
# Formation enthalpy at 0 K: 0.212 eV per atom
# Calculated volume: 160 Å³/cell
# Calculated density: 4.522 Mg/m³

[2]
# Li2Be2NbO6, relaxed, DFT GGA-PBE
data_Li2Be2NbO6
_space_group_name_H-M_alt 'P -3'
_space_group_IT_number 147
_cell_length_a 5.0325
_cell_length_b 5.0325
_cell_length_c 6.1788
_cell_angle_alpha 90.00
_cell_angle_beta 90.00
_cell_angle_gamma 120.00
loop_
_space_group_symop_operation_xyz
'x,y,z'
'-x,-y,-z'
'-y,x-y,z'
'y,-x+y,-z'
'-x+y,-x,z'
'x-y,x,-z'
loop_
_atom_site_label
_atom_site_type_symbol
_atom_site_fract_x
_atom_site_fract_y
_atom_site_fract_z
Li1 Li 0.3333 0.6667 0.2751
Be1 Be 0.3333 0.6667 0.8078
Nb1 Nb 0.0000 0.0000 0.0000
O1 O 0.0429 0.6973 0.8094
# Formation energy from raw total energies: -23.49 eV per formula unit
# Calculated volume: 136 Å³/cell
# Calculated density: 2.706 Mg/m³

[3]
# LiBeNb2O, relaxed, DFT GGA-PBE
data_LiBeNb2O
_space_group_name_H-M_alt 'P 4/m m m'
_space_group_IT_number 123
_space_group_name_Hall '-P 4 2'
_cell_length_a 4.205
_cell_length_b 4.205
_cell_length_c 3.662
_cell_angle_alpha 90.00
_cell_angle_beta 90.00
_cell_angle_gamma 90.00
loop_
_atom_site_label
_atom_site_type_symbol
_atom_site_fract_x
_atom_site_fract_y
_atom_site_fract_z
Li1 Li 0.000 0.000 0.000
Be1 Be 0.500 0.500 0.000
Nb1 Nb 0.000 0.500 0.500
O1 O 0.000 0.000 0.500
# Formation energy from raw total energies: -3.25 eV per formula unit
# Calculated volume: 65 Å³/cell
# Calculated density: 5.586 Mg/m³

[4]
# Li2BeNbO4, relaxed, DFT GGA-PBE
data_Li2BeNbO4
_space_group_name_H-M_alt 'I -4'
_space_group_IT_number 82
_cell_length_a 4.830
_cell_length_b 4.830
_cell_length_c 7.217
_cell_angle_alpha 90.00
_cell_angle_beta 90.00
_cell_angle_gamma 90.00
loop_
_space_group_symop_operation_xyz
'x,y,z'
'y,-x,-z'
'-x,-y,z'
'-y,x,-z'
'x+1/2,y+1/2,z+1/2'
'y+1/2,-x+1/2,-z+1/2'
'-x+1/2,-y+1/2,z+1/2'
'-y+1/2,x+1/2,-z+1/2'
loop_
_atom_site_label
_atom_site_type_symbol
_atom_site_fract_x
_atom_site_fract_y
_atom_site_fract_z
Li1 Li 0.000 0.000 0.000
Li2 Li 0.000 0.500 0.250
Be1 Be 0.000 0.500 0.750
Nb1 Nb 0.000 0.000 0.500
O1 O 0.208 0.289 0.629
# Formation energy from raw total energies: -17.51 eV per formula unit
# Calculated volume: 168 Å³/cell
# Calculated density: 3.546 Mg/m³

[5]
# Li2BeNbRe, relaxed, DFT GGA-PBE
data_Li2BeNbRe
_space_group_name_H-M_alt 'P 4/m m m'
_space_group_IT_number 123
_space_group_name_Hall '-P 4 2'
_cell_length_a 3.947
_cell_length_b 3.947
_cell_length_c 4.447
_cell_angle_alpha 90.00
_cell_angle_beta 90.00
_cell_angle_gamma 90.00
loop_
_atom_site_label
_atom_site_type_symbol
_atom_site_fract_x
_atom_site_fract_y
_atom_site_fract_z
Li1 Li 0.000 0.500 0.000
Be1 Be 0.000 0.000 0.000
Nb1 Nb 0.500 0.500 0.500
Re1 Re 0.000 0.000 0.500
# Formation enthalpy at 0 K: 0.575 eV per atom
# Calculated volume: 69 Å³/cell
# Calculated density: 7.240 Mg/m³

[6]
# LiBeNbSi2, relaxed, DFT GGA-PBE
data_LiBeNbSi2
_space_group_name_H-M_alt 'P 4/m m m'
_space_group_IT_number 123
_space_group_name_Hall '-P 4 2'
_cell_length_a 4.043
_cell_length_b 4.043
_cell_length_c 4.447
_cell_angle_alpha 90.00
_cell_angle_beta 90.00
_cell_angle_gamma 90.00
loop_
_atom_site_label
_atom_site_type_symbol
_atom_site_fract_x
_atom_site_fract_y
_atom_site_fract_z
Li1 Li 0.000 0.000 0.000
Be1 Be 0.500 0.500 0.500
Nb1 Nb 0.000 0.000 0.500
Si1 Si 0.000 0.500 0.000
# Relative energy among the computed polymorphs: 0.000 eV/atom
# Formation energy from raw total energies: 4.62 eV per formula unit
# Calculated volume: 73 Å³/cell
# Calculated density: 3.769 Mg/m³

[7]
# LiBeNbSi2, relaxed, DFT GGA-PBE
data_LiBeNbSi2
_space_group_name_H-M_alt 'P 4/m m m'
_space_group_IT_number 123
_space_group_name_Hall '-P 4 2'
_cell_length_a 4.859
_cell_length_b 4.859
_cell_length_c 5.092
_cell_angle_alpha 90.00
_cell_angle_beta 90.00
_cell_angle_gamma 90.00
loop_
_atom_site_label
_atom_site_type_symbol
_atom_site_fract_x
_atom_site_fract_y
_atom_site_fract_z
Li1 Li 0.000 0.000 0.000
Be1 Be 0.500 0.500 0.000
Nb1 Nb 0.000 0.000 0.500
Si1 Si 0.000 0.500 0.500
# Relative energy among the computed polymorphs: 0.373 eV/atom
# Formation energy from raw total energies: 6.49 eV per formula unit
# Calculated volume: 120 Å³/cell
# Calculated density: 2.280 Mg/m³

[8]
# SrLiBeNb2, relaxed, DFT GGA-PBE
data_SrLiBeNb2
_space_group_name_H-M_alt 'P 4/m m m'
_space_group_IT_number 123
_space_group_name_Hall '-P 4 2'
_cell_length_a 4.542
_cell_length_b 4.542
_cell_length_c 5.694
_cell_angle_alpha 90.00
_cell_angle_beta 90.00
_cell_angle_gamma 90.00
loop_
_atom_site_label
_atom_site_type_symbol
_atom_site_fract_x
_atom_site_fract_y
_atom_site_fract_z
Sr1 Sr 0.000 0.000 0.000
Li1 Li 0.500 0.500 0.000
Be1 Be 0.000 0.000 0.500
Nb1 Nb 0.000 0.500 0.500
# Formation enthalpy at 0 K: 0.892 eV per atom
# Calculated volume: 117 Å³/cell
# Calculated density: 4.092 Mg/m³

[9]
# Li3Nd2BeNi12, relaxed, DFT GGA-PBE
data_Li3Nd2BeNi12
_space_group_name_H-M_alt 'R -3 m'
_space_group_IT_number 166
_space_group_name_Hall '-R 3 2"'
_cell_length_a 5.9842
_cell_length_b 5.9842
_cell_length_c 24.6347
_cell_angle_alpha 90.00
_cell_angle_beta 90.00
_cell_angle_gamma 120.00
loop_
_atom_site_label
_atom_site_type_symbol
_atom_site_fract_x
_atom_site_fract_y
_atom_site_fract_z
Li1 Li 0.0000 0.5000 0.0000
Nd1 Nd 0.0000 0.0000 0.1558
Be1 Be 0.0000 0.0000 0.5000
Ni1 Ni 0.0630 0.5315 0.0991
Ni2 Ni 0.0713 0.5357 0.6140
# Formation enthalpy at 0 K: 0.136 eV per atom
# Calculated volume: 764 Å³/cell
# Calculated density: 6.668 Mg/m³

[10]
# LiNd3Be2Pd9, relaxed, DFT GGA-PBE
data_LiNd3Be2Pd9
_space_group_name_H-M_alt 'P -3 m 1'
_space_group_IT_number 164
_space_group_name_Hall '-P 3 2"'
_cell_length_a 6.5273
_cell_length_b 6.5273
_cell_length_c 7.1625
_cell_angle_alpha 90.00
_cell_angle_beta 90.00
_cell_angle_gamma 120.00
loop_
_atom_site_label
_atom_site_type_symbol
_atom_site_fract_x
_atom_site_fract_y
_atom_site_fract_z
Li1 Li 0.0000 0.0000 0.0000
Nd1 Nd 0.0000 0.0000 0.5000
Nd2 Nd 0.3333 0.6667 0.1669
Be1 Be 0.3333 0.6667 0.6612
Pd1 Pd 0.0000 0.5000 0.5000
Pd2 Pd 0.1727 0.3453 0.8301
# Formation enthalpy at 0 K: -0.613 eV per atom
# Calculated volume: 264 Å³/cell
# Calculated density: 8.894 Mg/m³

[11]
# LiPmNdBe, relaxed, DFT GGA-PBE
data_LiPmNdBe
_space_group_name_H-M_alt 'F -4 3 m'
_space_group_IT_number 216
_space_group_name_Hall 'F -4 2 3'
_cell_length_a 7.264
_cell_length_b 7.264
_cell_length_c 7.264
_cell_angle_alpha 90.00
_cell_angle_beta 90.00
_cell_angle_gamma 90.00
loop_
_atom_site_label
_atom_site_type_symbol
_atom_site_fract_x
_atom_site_fract_y
_atom_site_fract_z
Li1 Li 0.000 0.000 0.000
Pm1 Pm 0.250 0.250 0.250
Nd1 Nd 0.250 0.250 0.750
Be1 Be 0.000 0.000 0.500
# Formation enthalpy at 0 K: 0.171 eV per atom
# Calculated volume: 383 Å³/cell
# Calculated density: 5.289 Mg/m³

[12]
# LiNd2BePt2, relaxed, DFT GGA-PBE
data_LiNd2BePt2
_space_group_name_H-M_alt 'I b a m'
_space_group_IT_number 72
_space_group_name_Hall '-I 2 2c'
_cell_length_a 5.810
_cell_length_b 13.933
_cell_length_c 5.940
_cell_angle_alpha 90.00
_cell_angle_beta 90.00
_cell_angle_gamma 90.00
loop_
_atom_site_label
_atom_site_type_symbol
_atom_site_fract_x
_atom_site_fract_y
_atom_site_fract_z
Li1 Li 0.000 0.000 0.250
Nd1 Nd 0.229 0.165 0.000
Be1 Be 0.000 0.500 0.250
Pt1 Pt 0.216 0.392 0.000
# Formation enthalpy at 0 K: -0.736 eV per atom
# Calculated volume: 481 Å³/cell
# Calculated density: 9.595 Mg/m³

[13]
# LiNd2BePt6, relaxed, DFT GGA-PBE
data_LiNd2BePt6
_space_group_name_H-M_alt 'C 1 2/m 1'
_space_group_IT_number 12
_cell_length_a 9.801
_cell_length_b 5.661
_cell_length_c 7.480
_cell_angle_alpha 90.00
_cell_angle_beta 115.81
_cell_angle_gamma 90.00
loop_
_space_group_symop_operation_xyz
'x,y,z'
'-x,-y,-z'
'-x,y,-z'
'x,-y,z'
'x+1/2,y+1/2,z'
'-x+1/2,-y+1/2,-z'
'-x+1/2,y+1/2,-z'
'x+1/2,-y+1/2,z'
loop_
_atom_site_label
_atom_site_type_symbol
_atom_site_fract_x
_atom_site_fract_y
_atom_site_fract_z
Li1 Li 0.000 0.000 0.000
Nd1 Nd 0.210 0.500 0.128
Be1 Be 0.000 0.500 0.500
Pt1 Pt 0.015 0.243 0.286
Pt2 Pt 0.243 0.500 0.714
# Formation enthalpy at 0 K: -0.789 eV per atom
# Calculated volume: 374 Å³/cell
# Calculated density: 13.109 Mg/m³

[14]
# LiNdBeZn, relaxed, DFT GGA-PBE
data_LiNdBeZn
_space_group_name_H-M_alt 'F -4 3 m'
_space_group_IT_number 216
_space_group_name_Hall 'F -4 2 3'
_cell_length_a 6.550
_cell_length_b 6.550
_cell_length_c 6.550
_cell_angle_alpha 90.00
_cell_angle_beta 90.00
_cell_angle_gamma 90.00
loop_
_atom_site_label
_atom_site_type_symbol
_atom_site_fract_x
_atom_site_fract_y
_atom_site_fract_z
Li1 Li 0.000 0.000 0.000
Nd1 Nd 0.250 0.250 0.250
Be1 Be 0.000 0.000 0.500
Zn1 Zn 0.250 0.250 0.750
# Formation enthalpy at 0 K: -0.017 eV per atom
# Calculated volume: 281 Å³/cell
# Calculated density: 5.333 Mg/m³

[15]
# LiBe2Ni2, relaxed, DFT GGA-PBE
data_LiBe2Ni2
_space_group_name_H-M_alt 'I 4/m m m'
_space_group_IT_number 139
_space_group_name_Hall '-I 4 2'
_cell_length_a 3.340
_cell_length_b 3.340
_cell_length_c 10.070
_cell_angle_alpha 90.00
_cell_angle_beta 90.00
_cell_angle_gamma 90.00
loop_
_atom_site_label
_atom_site_type_symbol
_atom_site_fract_x
_atom_site_fract_y
_atom_site_fract_z
Li1 Li 0.000 0.000 0.000
Be1 Be 0.000 0.500 0.250
Ni1 Ni 0.000 0.000 0.385
# Relative energy among the computed polymorphs: 0.325 eV/atom
# Formation enthalpy at 0 K: 0.058 eV per atom
# Calculated volume: 112 Å³/cell
# Calculated density: 4.208 Mg/m³

[16]
# LiBeNi6, relaxed, DFT GGA-PBE
data_LiBeNi6
_space_group_name_H-M_alt 'C m m m'
_space_group_IT_number 65
_space_group_name_Hall '-C 2 2'
_cell_length_a 6.910
_cell_length_b 9.852
_cell_length_c 9.850
_cell_angle_alpha 90.00
_cell_angle_beta 90.00
_cell_angle_gamma 90.00
loop_
_atom_site_label
_atom_site_type_symbol
_atom_site_fract_x
_atom_site_fract_y
_atom_site_fract_z
Li1 Li 0.000 0.000 0.249
Li2 Li 0.000 0.247 0.500
Be1 Be 0.000 0.245 0.000
Be2 Be 0.000 0.500 0.249
Ni1 Ni 0.000 0.000 0.000
Ni2 Ni 0.000 0.000 0.500
Ni3 Ni 0.000 0.252 0.244
Ni4 Ni 0.000 0.500 0.000
Ni5 Ni 0.000 0.500 0.500
Ni6 Ni 0.244 0.377 0.372
Ni7 Ni 0.245 0.373 0.122
# Formation enthalpy at 0 K: -0.066 eV per atom
# Calculated volume: 671 Å³/cell
# Calculated density: 7.293 Mg/m³

[17]
# LiBe4Ni, relaxed, DFT GGA-PBE
data_LiBe4Ni
_space_group_name_H-M_alt 'F -4 3 m'
_space_group_IT_number 216
_space_group_name_Hall 'F -4 2 3'
_cell_length_a 5.979
_cell_length_b 5.979
_cell_length_c 5.979
_cell_angle_alpha 90.00
_cell_angle_beta 90.00
_cell_angle_gamma 90.00
loop_
_atom_site_label
_atom_site_type_symbol
_atom_site_fract_x
_atom_site_fract_y
_atom_site_fract_z
Li1 Li 0.000 0.000 0.000
Be1 Be 0.124 0.124 0.624
Ni1 Ni 0.250 0.250 0.250
# Formation enthalpy at 0 K: -0.149 eV per atom
# Calculated volume: 214 Å³/cell
# Calculated density: 3.159 Mg/m³

[18]
# LiBeNi3, relaxed, DFT GGA-PBE
data_LiBeNi3
_space_group_name_H-M_alt 'P m -3 m'
_space_group_IT_number 221
_space_group_name_Hall '-P 4 2 3'
_cell_length_a 3.838
_cell_length_b 3.838
_cell_length_c 3.838
_cell_angle_alpha 90.00
_cell_angle_beta 90.00
_cell_angle_gamma 90.00
loop_
_atom_site_label
_atom_site_type_symbol
_atom_site_fract_x
_atom_site_fract_y
_atom_site_fract_z
Li1 Li 0.000 0.000 0.000
Be1 Be 0.500 0.500 0.500
Ni1 Ni 0.000 0.000 0.500
# Relative energy among the computed polymorphs: 0.551 eV/atom
# Formation enthalpy at 0 K: 0.808 eV per atom
# Calculated volume: 57 Å³/cell
# Calculated density: 5.642 Mg/m³

[19]
# Li3BeNi, relaxed, DFT GGA-PBE
data_Li3BeNi
_space_group_name_H-M_alt 'P m -3 m'
_space_group_IT_number 221
_space_group_name_Hall '-P 4 2 3'
_cell_length_a 4.286
_cell_length_b 4.286
_cell_length_c 4.286
_cell_angle_alpha 90.00
_cell_angle_beta 90.00
_cell_angle_gamma 90.00
loop_
_atom_site_label
_atom_site_type_symbol
_atom_site_fract_x
_atom_site_fract_y
_atom_site_fract_z
Li1 Li 0.000 0.000 0.500
Be1 Be 0.000 0.000 0.000
Ni1 Ni 0.500 0.500 0.500
# Relative energy among the computed polymorphs: 0.082 eV/atom
# Formation enthalpy at 0 K: 0.784 eV per atom
# Calculated volume: 79 Å³/cell
# Calculated density: 1.867 Mg/m³

[20]
# LiBe2Ni2, relaxed, DFT GGA-PBE
data_LiBe2Ni2
_space_group_name_H-M_alt 'P 4/m b m'
_space_group_IT_number 127
_space_group_name_Hall '-P 4 2ab'
_cell_length_a 6.248
_cell_length_b 6.248
_cell_length_c 2.531
_cell_angle_alpha 90.00
_cell_angle_beta 90.00
_cell_angle_gamma 90.00
loop_
_atom_site_label
_atom_site_type_symbol
_atom_site_fract_x
_atom_site_fract_y
_atom_site_fract_z
Li1 Li 0.000 0.000 0.000
Be1 Be 0.128 0.372 0.000
Ni1 Ni 0.164 0.664 0.500
# Relative energy among the computed polymorphs: 0.000 eV/atom
# Formation enthalpy at 0 K: -0.267 eV per atom
# Calculated volume: 99 Å³/cell
# Calculated density: 4.784 Mg/m³